[1]
An optimized crystal structure of SrGe3Cl8, computed with PBE.

Properties
* formation energy from raw total energies: -13.95 eV per formula unit
* total moment: 0.00 μB per cell
* electronic total energy: -44.3 eV for the cell shown
* SG: No. 8

Cell lengths 8.9192, 8.9192, 9.5094 Å; angles 112.81, 112.81, 35.87 degrees
Closest atoms and distances in Å follow each position.
Sites, in units of the cell vectors:
1 Sr 0.0000 0.0000 0.0000  6 Cl 2.82-3.01
2 Ge 0.1153 0.1153 0.5867  2 Cl 2.32-2.37
3 Ge 0.3173 0.3173 0.0620  2 Cl 2.34-2.39
4 Ge 0.4280 0.4280 0.6158  2 Cl 2.45-2.61
5 Cl 0.1025 0.1025 0.3289  1 Ge 2.37
6 Cl 0.1660 0.1660 0.9569  1 Ge 2.34
7 Cl 0.2649 0.2649 0.6886  1 Ge 2.32
8 Cl 0.3294 0.3294 0.3212  2 Ge 2.39-2.61
9 Cl 0.5002 0.5002 0.9334  1 Ge 2.76, 2 Sr 2.82
10 Cl 0.5655 0.5655 0.5891  1 Ge 2.45
11 Cl 0.8433 0.8433 0.0510  2 Ge 2.79, 1 Sr 2.89
12 Cl 0.9311 0.9311 0.6560  2 Ge 2.77, 1 Sr 2.99

---

[2]
An optimized crystal structure of Si2SbRh, computed with PBE.

Properties
* formation energy from raw total energies: 0.12 eV per formula unit
* total moment: 0.00 μB per cell
* electronic total energy: -44.4 eV for the cell shown
* SG: No. 122

Cell lengths 6.9552, 6.9552, 6.9552 Å; angles 131.37, 131.37, 71.23 degrees
Closest atoms and distances in Å follow each position.
Sites, in units of the cell vectors:
1 Si 0.0700 0.6250 0.9450  2 Rh 2.30
2 Si 0.3750 0.3200 0.4450  2 Rh 2.30
3 Si 0.6800 0.1250 0.0550  2 Rh 2.30
4 Si 0.8750 0.9300 0.5550  2 Rh 2.30
5 Sb 0.2500 0.7500 0.5000  4 Si 2.66
6 Sb 0.5000 0.5000 0.0000  4 Si 2.66
7 Rh 0.0000 0.0000 0.0000  4 Si 2.30
8 Rh 0.7500 0.2500 0.5000  4 Si 2.30

---

[3]
An optimized crystal structure of NaSr8Pd4, computed with PBE.

Properties
* formation enthalpy at 0 K: -0.3963 eV per atom
* total moment: 0.00 μB per cell
* electronic total energy: -40.7 eV for the cell shown
* SG: No. 8

Cell lengths 10.8964, 10.8964, 14.4449 Å; angles 129.88, 129.88, 23.58 degrees
Closest atoms and distances in Å follow each position.
Sites, in units of the cell vectors:
1 Na 0.0000 0.0000 0.0000  10 Sr 4.28-4.41, 2 Na 4.45
2 Sr 0.0402 0.0402 0.7437  3 Pd 3.04-3.05
3 Sr 0.2926 0.2926 0.9256  3 Pd 3.06
4 Sr 0.3367 0.3367 0.6659  3 Pd 3.05-3.06
5 Sr 0.3701 0.3701 0.4132  3 Pd 3.03-3.04
6 Sr 0.6306 0.6306 0.5884  3 Pd 3.04
7 Sr 0.6636 0.6636 0.3350  3 Pd 3.05-3.06
8 Sr 0.7078 0.7078 0.0759  3 Pd 3.06
9 Sr 0.9602 0.9602 0.2578  3 Pd 3.04
10 Pd 0.1479 0.1479 0.4627  6 Sr 3.04-3.06
11 Pd 0.3360 0.3360 0.1737  6 Sr 3.03-3.06
12 Pd 0.6644 0.6644 0.8279  6 Sr 3.04-3.06
13 Pd 0.8524 0.8524 0.5384  6 Sr 3.04-3.06

---

[4]
An optimized crystal structure of Pr2Ga2Au3, computed with PBE.

Properties
* formation enthalpy at 0 K: -0.6846 eV per atom
* total moment: 0.00 μB per cell
* electronic total energy: -60.5 eV for the cell shown
* SG: No. 63

Cell lengths 10.3061, 10.3061, 7.3397 Å; angles 90.00, 90.00, 155.90 degrees
Closest atoms and distances in Å follow each position.
Sites, in units of the cell vectors:
1 Pr 0.0566 0.9434 0.7500  5 Au 3.12-3.34
2 Pr 0.1572 0.8428 0.2500  6 Au 3.18-3.25, 6 Ga 3.19-3.38
3 Pr 0.8428 0.1572 0.7500  6 Au 3.18-3.25, 6 Ga 3.19-3.38
4 Pr 0.9434 0.0566 0.2500  5 Au 3.12-3.34
5 Ga 0.3096 0.6904 0.0568  4 Au 2.65-2.86, 1 Ga 2.84
6 Ga 0.3096 0.6904 0.4432  4 Au 2.65-2.86, 1 Ga 2.84
7 Ga 0.6904 0.3096 0.5568  4 Au 2.65-2.86, 1 Ga 2.84
8 Ga 0.6904 0.3096 0.9432  4 Au 2.65-2.86, 1 Ga 2.84
9 Au 0.2221 0.7779 0.7500  6 Ga 2.65-2.86
10 Au 0.4356 0.5644 0.5569  1 Ga 2.67, 2 Au 2.73-2.83
11 Au 0.4356 0.5644 0.9431  1 Ga 2.67, 2 Au 2.73-2.83
12 Au 0.5644 0.4356 0.0569  1 Ga 2.67, 2 Au 2.73-2.83
13 Au 0.5644 0.4356 0.4431  1 Ga 2.67, 2 Au 2.73-2.83
14 Au 0.7779 0.2221 0.2500  6 Ga 2.65-2.86

---

[5]
An optimized crystal structure of Ba3U2TlS9, computed with PBE.

Properties
* formation energy from raw total energies: -21.33 eV per formula unit
* total moment: 2.85 μB per cell
* electronic total energy: -89.2 eV for the cell shown
* SG: No. 164

Cell lengths 7.4061, 7.4061, 9.0926 Å; angles 90.00, 90.00, 120.00 degrees
Closest atoms and distances in Å follow each position.
Sites, in units of the cell vectors:
1 Ba 0.0000 0.0000 0.0000  12 S 3.70
2 Ba 0.3333 0.6667 0.6446  12 S 3.55-3.87
3 Ba 0.6667 0.3333 0.3554  12 S 3.55-3.87
4 U 0.3333 0.6667 0.1676  6 S 2.54-2.63
5 U 0.6667 0.3333 0.8324  6 S 2.54-2.63
6 Tl 0.0000 0.0000 0.5000  6 S 2.70
7 S 0.0000 0.5000 0.0000  2 U 2.63
8 S 0.1711 0.3421 0.3278  1 U 2.54, 1 Tl 2.70
9 S 0.1711 0.8289 0.3278  1 U 2.54, 1 Tl 2.70
10 S 0.3421 0.1711 0.6722  1 U 2.54, 1 Tl 2.70
11 S 0.5000 0.0000 0.0000  2 U 2.63
12 S 0.5000 0.5000 0.0000  2 U 2.63
13 S 0.6579 0.8289 0.3278  1 U 2.54, 1 Tl 2.70
14 S 0.8289 0.1711 0.6722  1 U 2.54, 1 Tl 2.70
15 S 0.8289 0.6579 0.6722  1 U 2.54, 1 Tl 2.70

---

[6]
An optimized crystal structure of Tb7Er2, computed with PBE.

Properties
* formation enthalpy at 0 K: 0.0191 eV per atom
* total moment: 0.00 μB per cell
* electronic total energy: -41.4 eV for the cell shown
* SG: No. 162

Cell lengths 6.1314, 6.1314, 8.6667 Å; angles 90.00, 90.00, 120.00 degrees
Closest atoms and distances in Å follow each position.
Sites, in units of the cell vectors:
1 Tb 0.0000 0.0000 0.0000  6 Tb 3.53, 6 Er 3.54
2 Tb 0.0000 0.3336 0.6678  2 Er 3.53, 10 Tb 3.53-3.56
3 Tb 0.0000 0.6664 0.3322  2 Er 3.53, 10 Tb 3.53-3.56
4 Tb 0.3336 0.0000 0.6678  2 Er 3.53, 10 Tb 3.53-3.56
5 Tb 0.3336 0.3336 0.3322  2 Er 3.53, 10 Tb 3.53-3.56
6 Tb 0.6664 0.0000 0.3322  2 Er 3.53, 10 Tb 3.53-3.56
7 Tb 0.6664 0.6664 0.6678  2 Er 3.53, 10 Tb 3.53-3.56
8 Er 0.3333 0.6667 0.0000  9 Tb 3.53-3.54, 3 Er 3.54
9 Er 0.6667 0.3333 0.0000  9 Tb 3.53-3.54, 3 Er 3.54

---

[7]
An optimized crystal structure of Zn5CuIr2, computed with PBE.

Properties
* formation enthalpy at 0 K: -0.1822 eV per atom
* total moment: 0.00 μB per cell
* electronic total energy: -29.6 eV for the cell shown
* SG: No. 139

Cell lengths 5.3762, 5.3762, 5.3762 Å; angles 119.52, 119.52, 90.84 degrees
Closest atoms and distances in Å follow each position.
Sites, in units of the cell vectors:
1 Zn 0.0000 0.0000 0.0000  8 Zn 2.69, 4 Ir 2.71
2 Zn 0.0000 0.0000 0.5000  2 Cu 2.69, 4 Ir 2.69, 6 Zn 2.69-2.71
3 Zn 0.0000 0.5000 0.0000  2 Cu 2.69, 4 Ir 2.69, 6 Zn 2.69-2.71
4 Zn 0.5000 0.0000 0.0000  2 Cu 2.69, 4 Ir 2.69, 6 Zn 2.69-2.71
5 Zn 0.5000 0.5000 0.5000  2 Cu 2.69, 4 Ir 2.69, 6 Zn 2.69-2.71
6 Cu 0.5000 0.5000 0.0000  8 Zn 2.69, 4 Ir 2.71
7 Ir 0.0000 0.5000 0.5000  10 Zn 2.69-2.71, 2 Cu 2.71
8 Ir 0.5000 0.0000 0.5000  10 Zn 2.69-2.71, 2 Cu 2.71